(1)
9
Lattice="5.622 0.000 0.000 -2.811 4.703 1.099 0.000 0.072 6.278" Properties=species:S:1:pos:R:3 comment="PBE-GGA Dy2GaPt6, relaxed" space_group="C2/m, No. 12" total_energy_ev_per_atom=-6.3894 formation_energy_ev_per_atom=-1.003 volume_a3_per_atom=18.40 pbc="T T T"
Pt 0.000 1.174 2.197
Ga 0.000 0.000 0.000
Pt 1.356 3.479 2.761
Pt 1.455 1.297 4.616
Dy 0.000 3.390 6.184
Pt -1.356 3.479 2.761
Pt 2.811 3.601 5.180
Pt 4.167 1.297 4.616
Dy 2.811 1.385 1.193

(2)
10
Lattice="-3.317 2.249 -5.046 -1.570 -5.481 -1.193 -7.350 -1.872 0.149" Properties=species:S:1:pos:R:3 comment="PBE-GGA SrTl2SbF6, relaxed" space_group="P-1, No. 2" total_energy_ev_per_atom=-4.5753 volume_a3_per_atom=21.88 e_form_raw_ev_per_fu=-24.0 pbc="T T T"
F -4.182 -2.634 -3.963
F -5.066 -1.533 -0.473
F -8.054 -2.470 -2.126
F -7.171 -3.572 -5.616
Tl -6.659 -0.396 -4.033
F -2.265 -3.148 -1.557
Tl -5.577 -4.708 -2.056
Sr 0.000 0.000 0.000
Sb -2.443 -1.616 -3.119
F -9.972 -1.956 -4.532

(3)
5
Lattice="-3.286 -1.108 -5.052 -2.125 -4.622 2.397 -4.624 3.310 2.282" Properties=species:S:1:pos:R:3 comment="PBE-GGA LaPdI2Cl, relaxed" space_group="P4/mmm, No. 123" total_energy_ev_per_atom=-3.3752 volume_a3_per_atom=42.23 e_form_raw_ev_per_fu=-1.8 pbc="T T T"
I -2.312 1.655 1.141
Pd -1.063 -2.311 1.198
I -1.643 -0.554 -2.526
Cl -5.018 -1.211 -0.186
La 0.000 0.000 0.000